Entry 1:
16
Lattice="-5.879 -3.585 5.010 5.974 0.815 7.593 -1.777 7.218 -4.158" Properties=species:S:1:pos:R:3 comment="Cs4Tm3PuSe8 | Alexandria via LeMat-Bulk | PBE | optimized geometry" magnetic_moment_mub_per_fu=5.00 e_tot_ev_per_cell=-85.152 pbc="T T T"
Tm -0.841 2.224 4.223
Tm 2.098 4.016 1.718
Tm 0.047 -1.385 6.302
Cs 0.000 0.000 0.000
Cs -0.889 3.609 -2.079
Cs -2.940 -1.793 2.505
Cs -3.828 1.816 0.426
Se -1.011 1.240 6.938
Se 1.027 6.602 2.391
Se 0.165 -0.402 3.605
Se -3.585 1.384 4.021
Se -0.672 3.208 1.507
Se 1.903 3.063 4.425
Se -2.710 -2.155 6.054
Se -1.847 4.849 4.841
Pu 2.987 0.407 3.797



Entry 2:
9
Lattice="-4.648 -4.121 2.715 1.530 -6.488 1.235 2.092 1.653 6.091" Properties=species:S:1:pos:R:3 comment="KAgRuCl6 | Alexandria via LeMat-Bulk | PBE | optimized geometry" magnetic_moment_mub_per_fu=2.01 e_tot_ev_per_cell=-31.680 pbc="T T T"
K -2.555 -2.468 8.806
Cl -2.152 -2.301 3.520
Cl 0.955 -1.933 2.353
Cl -0.837 -3.605 6.368
Cl 2.208 -2.975 5.151
Cl -0.055 -4.900 3.505
Cl -0.076 -0.542 5.275
Ru 0.007 -2.710 4.362
Ag -1.032 -6.246 5.679



Entry 3:
4
Lattice="2.591 -3.676 -2.403 2.763 -3.343 2.682 -1.524 -4.852 0.369" Properties=species:S:1:pos:R:3 comment="Y2BPb | Alexandria via LeMat-Bulk | PBE | optimized geometry" magnetic_moment_mub_per_fu=0.00 polymorph_energy_mev_per_atom=180 pbc="T T T"
B 0.000 0.000 0.000
Pb 1.915 -5.936 0.324
Y 0.958 -2.968 0.162
Y 2.873 -8.904 0.486



Entry 4:
5
Lattice="4.262 0.000 0.000 0.000 4.262 0.000 0.000 0.000 5.550" Properties=species:S:1:pos:R:3 comment="NbBiSeN2 | Alexandria via LeMat-Bulk | PBE | optimized geometry" magnetic_moment_mub_per_fu=1.50 polymorph_energy_mev_per_atom=1419 pbc="T T T"
Bi 0.000 0.000 0.000
Se 0.000 0.000 2.775
Nb 2.131 2.131 2.775
N 0.000 2.131 0.000
N 2.131 0.000 0.000